Entry from Alexandria: a relaxed RbCu3Cl crystal (GGA-PBEsol).

Cell lengths 5.271, 5.271, 5.271 Å; angles 90.00, 90.00, 90.00 degrees
Space group Pm-3m (No. 221)
Asymmetric unit:
Rb 0.000 0.000 0.000 (multiplicity 1)
Cu 0.000 0.000 0.500 (multiplicity 3)
Cl 0.500 0.500 0.500 (multiplicity 1)

Calculated values
The magnetization comes out at 0.67 μB per cell. The value obtained for the energy relative to the elements, uncorrected is 40.87 kcal/mol of atoms. As for the density of states at the Fermi level: 5.4 states/eV per cell. The value obtained for the uncorrected energy is -1.4347 eV/atom.